# Ac2InSn, optimized geometry, DFT GGA-PBE
# Formation enthalpy at 0 K: -346.0 meV/atom
# Density: 7.4 g/cm3
data_Ac2InSn
_chemical_formula_sum 'Ac6 In3 Sn3'
_space_group_name_H-M_alt 'R -3 m'
_space_group_IT_number 166
_space_group_name_Hall '-R 3 2"'
_cell_length_a 4.3087
_cell_length_b 4.3087
_cell_length_c 28.7656
_cell_angle_alpha 90.00
_cell_angle_beta 90.00
_cell_angle_gamma 120.00
loop_
_atom_site_label
_atom_site_type_symbol
_atom_site_fract_x
_atom_site_fract_y
_atom_site_fract_z
Ac1 Ac 0.0000 0.0000 0.2472
In1 In 0.0000 0.0000 0.0000
Sn1 Sn 0.0000 0.0000 0.5000